CrSN2F | PBE with a Hubbard U | optimized geometry

Cell: 3.4153 3.4153 5.0801 Å, 90.00 90.00 90.00°
Fractional coordinates of all 5 atoms:
N (0.5000, 0.0000, 0.0000)
N (0.0000, 0.5000, 0.0000)
Cr (0.5000, 0.5000, 0.5000)
S (0.0000, 0.0000, 0.0000)
F (0.0000, 0.0000, 0.5000)

Calculated values
DOS(E_F)   3.06 states/eV/f.u.
Calculated total energy   -24.7 eV per cell
Excess energy over the best structure of this formula in the dataset   0.461 eV/atom